Record 1
The following is a DFT calculation (GGA-PBE) of crystalline Pm4YIr2 at its relaxed geometry.

a = 7.9706 Å, b = 6.4957 Å, c = 8.0933 Å
α = 90.00°, β = 113.04°, γ = 90.00°
Closest atoms and distances in Å follow each position.
Space group P2_1/m (No. 11)
Symmetry-distinct sites (fractional):
Pm 0.0134 0.2500 0.3772  2 Ir 2.76-2.88
Pm 0.2477 0.7500 0.3370  2 Ir 2.80-2.94
Pm 0.4150 0.0042 0.7651  4 Ir 3.07-3.21, 2 Pm 3.19-3.30
Y 0.1524 0.2500 0.0307  2 Ir 2.85-3.12
Ir 0.2465 0.7500 0.9902  6 Pm 2.80-3.13, 1 Y 3.12
Ir 0.3705 0.2500 0.4056  4 Pm 2.76-3.07, 1 Y 2.85

Output
Crystal system: monoclinic
Formation energy from the elements in eV per atom: -0.42
Uncorrected energy in eV per formula unit: -46.116

Record 2
The following is a DFT calculation (GGA-PBE) of crystalline Pm5YIr4 at its relaxed geometry.

a = 14.9914 Å, b = 4.8437 Å, c = 7.0080 Å
α = 90.00°, β = 90.08°, γ = 90.00°
Closest atoms and distances in Å follow each position.
Space group C2/m (No. 12)
Symmetry-distinct sites (fractional):
Pm 0.0000 0.0000 0.0000  6 Ir 3.01-3.02
Pm 0.1652 0.5000 0.5011  5 Ir 2.93-3.11
Pm 0.1658 0.5000 0.0000  5 Ir 2.97-3.15
Y 0.0000 0.0000 0.5000  6 Ir 2.97-3.03
Ir 0.0071 0.5000 0.7459  6 Pm 2.93-3.15, 2 Y 2.97
Ir 0.1645 0.0000 0.2498  7 Pm 2.99-3.09, 1 Y 3.03

Output
Crystal system: monoclinic
Formation energy from the elements in eV per atom: -0.63
Uncorrected energy in eV per formula unit: -71.961

Record 3
The following is a DFT calculation (GGA-PBE) of crystalline Pm2YIr at its relaxed geometry.

a = 3.9536 Å, b = 12.0324 Å, c = 9.5442 Å
α = 90.00°, β = 90.00°, γ = 90.00°
Closest atoms and distances in Å follow each position.
Space group Cmcm (No. 63)
Symmetry-distinct sites (fractional):
Pm 0.0000 0.1394 0.0667  2 Ir 2.93
Y 0.0000 0.4203 0.2500  2 Ir 2.89
Ir 0.0000 0.2551 0.7500  2 Y 2.89, 4 Pm 2.93

Output
Crystal system: orthorhombic
Formation energy from the elements in eV per atom: -0.46
Uncorrected energy in eV per formula unit: -26.651
Energy above the lowest structure with this stoichiometry in kcal/mol of atoms: 0.97

Record 4
The following is a DFT calculation (GGA-PBE) of crystalline PmY2Ir at its relaxed geometry.

a = 4.6560 Å, b = 4.6560 Å, c = 18.9578 Å
α = 90.00°, β = 90.00°, γ = 120.00°
Closest atoms and distances in Å follow each position.
Space group R3m (No. 160, hexagonal axes)
Symmetry-distinct sites (fractional):
Pm 0.0000 0.0000 0.0000  1 Ir 3.10, 6 Y 3.44-3.47
Y 0.0000 0.0000 0.5512  3 Ir 2.88
Y 0.0000 0.0000 0.7798  3 Ir 2.85
Ir 0.0000 0.0000 0.1635  6 Y 2.85-2.88, 1 Pm 3.10

Output
Crystal system: trigonal
Formation energy from the elements in eV per atom: -0.32
Uncorrected energy in eV per formula unit: -27.817
Energy above the lowest structure with this stoichiometry in kcal/mol of atoms: 4.98

Record 5
The following is a DFT calculation (GGA-PBE) of crystalline Pm3YIr3 at its relaxed geometry.

a = 10.7637 Å, b = 9.7035 Å, c = 6.8092 Å
α = 90.00°, β = 101.34°, γ = 90.00°
Closest atoms and distances in Å follow each position.
Space group C2/m (No. 12)
Symmetry-distinct sites (fractional):
Pm 0.0000 0.1899 0.0000  4 Ir 2.83-2.97
Pm 0.0000 0.2722 0.5000  4 Ir 2.87-3.01
Pm 0.2010 0.5000 0.0068  5 Ir 2.92-3.09
Y 0.2183 0.0000 0.4527  4 Ir 2.74-2.92
Ir 0.0535 0.0000 0.7125  2 Y 2.74-2.92, 5 Pm 2.83-3.01, 1 Ir 2.90
Ir 0.2466 0.2493 0.7508  2 Y 2.86-3.13, 4 Pm 2.87-3.09, 1 Ir 3.17

Output
Crystal system: monoclinic
Formation energy from the elements in eV per atom: -0.57
Uncorrected energy in eV per formula unit: -51.296
Energy above the lowest structure with this stoichiometry in kcal/mol of atoms: 0.36

Record 6
The following is a DFT calculation (GGA-PBE) of crystalline Pm2YIr at its relaxed geometry.

a = 7.3108 Å, b = 9.7603 Å, c = 6.4054 Å
α = 90.00°, β = 90.00°, γ = 90.00°
Closest atoms and distances in Å follow each position.
Space group Pnma (No. 62)
Symmetry-distinct sites (fractional):
Pm 0.1778 0.0649 0.1728  2 Ir 2.93
Y 0.0363 0.2500 0.6430  2 Ir 2.81-2.85
Ir 0.1191 0.7500 0.9487  2 Y 2.81-2.85, 4 Pm 2.93

Output
Crystal system: orthorhombic
Formation energy from the elements in eV per atom: -0.50
Uncorrected energy in eV per formula unit: -26.820
Energy above the lowest structure with this stoichiometry in kcal/mol of atoms: 0.00

Which of these has the highest uncorrected energy? number 3